Record 1
# Na2SiAuS4 (PBE, optimized geometry)
# E_form (uncorrected) in eV per atom: -0.63
# Size of the total moment in μB per cell: 0.0
# ρ in Mg/m³: 3.97
# Final energy in eV per cell: -65.8
data_Na2SiAuS4
_chemical_formula_sum 'Na4 Si2 Au2 S8'
_space_group_name_H-M_alt 'I -4 2 m'
_space_group_IT_number 121
_space_group_name_Hall 'I -4 2'
_cell_length_a 7.147
_cell_length_b 7.147
_cell_length_c 6.538
_cell_angle_alpha 90.00
_cell_angle_beta 90.00
_cell_angle_gamma 90.00
loop_
_atom_site_label
_atom_site_type_symbol
_atom_site_fract_x
_atom_site_fract_y
_atom_site_fract_z
Na1 Na 0.000 0.500 0.000
Si1 Si 0.000 0.000 0.000
Au1 Au 0.000 0.000 0.500
S1 S 0.166 0.166 0.796


Record 2
# NaSiAu2S (PBE, optimized geometry)
# E_form (uncorrected) in eV per atom: -0.10
# Size of the total moment in μB per cell: 0.0
# ρ in Mg/m³: 7.01
# Offset from the most stable computed form in eV per formula unit: 0.00
# Final energy in eV per cell: -17.9
data_NaSiAu2S
_chemical_formula_sum 'Na1 Si1 Au2 S1'
_space_group_name_H-M_alt 'P 4/m m m'
_space_group_IT_number 123
_space_group_name_Hall '-P 4 2'
_cell_length_a 4.795
_cell_length_b 4.795
_cell_length_c 4.918
_cell_angle_alpha 90.00
_cell_angle_beta 90.00
_cell_angle_gamma 90.00
loop_
_atom_site_label
_atom_site_type_symbol
_atom_site_fract_x
_atom_site_fract_y
_atom_site_fract_z
Na1 Na 0.000 0.000 0.000
Si1 Si 0.500 0.500 0.500
Au1 Au 0.000 0.500 0.500
S1 S 0.500 0.500 0.000